1.
Entry from Alexandria via LeMat-Bulk: a relaxed structure of Ge2OsO (PBE).

Values from the calculation:
ΔE_f (raw)   -0.010 eV per atom
Calculated total energy   -6.37 eV/atom

a = 5.6476 Å, b = 5.6476 Å, c = 5.5884 Å
α = 59.65°, β = 59.65°, γ = 90.00°
Positions (direct):
Ge  0.8750  0.8294  0.7500
Ge  0.5794  0.1250  0.2500
Ge  0.3750  0.4206  0.7500
Ge  0.1706  0.6250  0.2500
Os  0.7500  0.2500  0.5000
Os  0.0000  0.0000  0.0000
O  0.5000  0.5000  0.0000
O  0.2500  0.7500  0.5000

2.
Entry from Alexandria via LeMat-Bulk: a relaxed structure of GeOs3O (PBE).

Values from the calculation:
ΔE_f (raw)   2.548 eV per atom
Calculated total energy   -6.11 eV/atom

a = 4.5638 Å, b = 4.5638 Å, c = 4.5638 Å
α = 90.00°, β = 90.00°, γ = 90.00°
Each line ends with the local moment (μB).
Positions (direct):
O  0.5000  0.5000  0.5000  1.14
Os  0.0000  0.0000  0.5000  1.00
Os  0.0000  0.5000  0.0000  1.12
Os  0.5000  0.0000  0.0000  1.08
Ge  0.0000  0.0000  0.0000  -0.04

3.
Entry from Alexandria via LeMat-Bulk: a relaxed structure of GeP2OsO (PBE).

Values from the calculation:
ΔE_f (raw)   0.854 eV per atom
Calculated total energy   -5.47 eV/atom

a = 4.7411 Å, b = 4.7411 Å, c = 3.4290 Å
α = 90.00°, β = 90.00°, γ = 90.00°
Each line ends with the local moment (μB).
Positions (direct):
P  0.0000  0.5000  0.0000  -0.01
P  0.5000  0.0000  0.0000  -0.01
Os  0.5000  0.5000  0.5000  0.88
O  0.0000  0.0000  0.5000  0.04
Ge  0.0000  0.0000  0.0000  0.02